i | A plane-wave DFT calculation with PBE was carried out for an optimized crystal structure of Pm3ZnAg.

Unit cell a=7.6761 b=7.1159 c=10.1514 alpha=84.33 beta=90.00 gamma=90.00
Last column: nearest neighbours and their distance in Å.
Positions (direct):
Pm 0.5302 0.8227 0.7737  3 Ag 3.07-3.24, 2 Zn 3.11-3.36
Pm 0.4698 0.1773 0.2263  3 Ag 3.07-3.24, 2 Zn 3.11-3.36
Pm 0.0342 0.2754 0.0928  1 Ag 3.08, 3 Zn 3.12-3.44
Pm 0.1472 0.6674 0.6005  3 Zn 3.01-3.09, 2 Ag 3.11-3.19
Pm 0.3528 0.6674 0.1005  3 Zn 3.01-3.09, 2 Ag 3.11-3.19
Pm 0.9658 0.7246 0.9072  1 Ag 3.08, 3 Zn 3.12-3.44
Pm 0.0302 0.1773 0.7263  3 Ag 3.07-3.24, 2 Zn 3.11-3.36
Pm 0.8528 0.3326 0.3995  3 Zn 3.01-3.09, 2 Ag 3.11-3.19
Pm 0.9698 0.8227 0.2737  3 Ag 3.07-3.24, 2 Zn 3.11-3.36
Pm 0.6472 0.3326 0.8995  3 Zn 3.01-3.09, 2 Ag 3.11-3.19
Pm 0.4658 0.2754 0.5928  1 Ag 3.08, 3 Zn 3.12-3.44
Pm 0.5342 0.7246 0.4072  1 Ag 3.08, 3 Zn 3.12-3.44
Ag 0.6856 0.9349 0.0525  1 Zn 2.81, 3 Pm 3.07-3.11
Ag 0.1856 0.0651 0.4475  1 Zn 2.81, 3 Pm 3.07-3.11
Ag 0.8144 0.9349 0.5525  1 Zn 2.81, 3 Pm 3.07-3.11
Ag 0.3144 0.0651 0.9475  1 Zn 2.81, 3 Pm 3.07-3.11
Zn 0.2272 0.4501 0.3617  1 Ag 2.81, 6 Pm 3.01-3.13
Zn 0.7728 0.5499 0.6383  1 Ag 2.81, 6 Pm 3.01-3.13
Zn 0.7272 0.5499 0.1383  1 Ag 2.81, 6 Pm 3.01-3.13
Zn 0.2728 0.4501 0.8617  1 Ag 2.81, 6 Pm 3.01-3.13

ii | A plane-wave DFT calculation with PBE was carried out for an optimized crystal structure of Pm3ZnAg.

Unit cell a=5.2344 b=5.2394 c=10.2781 alpha=90.00 beta=75.25 gamma=90.00
Last column: nearest neighbours and their distance in Å.
Positions (direct):
Ag 0.1648 0.2500 0.3188  8 Pm 3.17-3.23
Ag 0.4836 0.7500 0.6812  8 Pm 3.17-3.23
Zn 0.9794 0.2500 0.6895  8 Pm 3.15-3.23
Zn 0.6689 0.7500 0.3105  8 Pm 3.15-3.23
Pm 0.8885 0.7500 0.8714  2 Zn 3.18, 2 Ag 3.23
Pm 0.0734 0.7500 0.5015  4 Ag 3.17-3.19, 4 Zn 3.22-3.23
Pm 0.2575 0.7500 0.1333  2 Zn 3.15, 2 Ag 3.20
Pm 0.7599 0.2500 0.1286  2 Zn 3.18, 2 Ag 3.23
Pm 0.5749 0.2500 0.4985  4 Ag 3.17-3.19, 4 Zn 3.22-3.23
Pm 0.3908 0.2500 0.8667  2 Zn 3.15, 2 Ag 3.20

Stability order, top to bottom: ii, i

i | A plane-wave DFT calculation with PBE was carried out for an optimized crystal structure of Pm3Zn2Ag3.

Unit cell a=4.6511 b=5.8297 c=15.1360 alpha=90.00 beta=90.00 gamma=113.51
Last column: nearest neighbours and their distance in Å.
Positions (direct):
Ag 0.6179 0.2358 0.4581  3 Zn 2.66-2.87, 1 Ag 2.82
Ag 0.6179 0.2358 0.0419  3 Zn 2.66-2.87, 1 Ag 2.82
Ag 0.3409 0.6818 0.2500  2 Zn 2.68
Ag 0.6591 0.3182 0.7500  2 Zn 2.68
Ag 0.3821 0.7642 0.9581  3 Zn 2.66-2.87, 1 Ag 2.82
Ag 0.3821 0.7642 0.5419  3 Zn 2.66-2.87, 1 Ag 2.82
Pm 0.6292 0.2584 0.2500  5 Ag 3.08-3.25, 4 Zn 3.34
Pm 0.9108 0.8216 0.1039  4 Zn 3.15-3.34, 7 Ag 3.22-3.35
Pm 0.0892 0.1784 0.6039  4 Zn 3.15-3.34, 7 Ag 3.22-3.35
Pm 0.3708 0.7416 0.7500  5 Ag 3.08-3.25, 4 Zn 3.34
Pm 0.0892 0.1784 0.8961  4 Zn 3.15-3.34, 7 Ag 3.22-3.35
Pm 0.9108 0.8216 0.3961  4 Zn 3.15-3.34, 7 Ag 3.22-3.35
Zn 0.7946 0.5891 0.6007  4 Ag 2.66-2.87
Zn 0.7946 0.5891 0.8993  4 Ag 2.66-2.87
Zn 0.2054 0.4109 0.1007  4 Ag 2.66-2.87
Zn 0.2054 0.4109 0.3993  4 Ag 2.66-2.87

ii | A plane-wave DFT calculation with PBE was carried out for an optimized crystal structure of Pm3Zn2Ag3.

Unit cell a=5.6623 b=8.1612 c=16.2803 alpha=90.00 beta=90.00 gamma=90.00
Last column: nearest neighbours and their distance in Å.
Positions (direct):
Zn 0.1302 0.8907 0.8899  4 Ag 2.61-2.77
Zn 0.8698 0.1093 0.1101  4 Ag 2.61-2.77
Zn 0.6302 0.6093 0.3899  4 Ag 2.61-2.77
Zn 0.1302 0.8907 0.6101  4 Ag 2.61-2.77
Zn 0.8698 0.1093 0.3899  4 Ag 2.61-2.77
Zn 0.3698 0.3907 0.8899  4 Ag 2.61-2.77
Zn 0.3698 0.3907 0.6101  4 Ag 2.61-2.77
Zn 0.6302 0.6093 0.1101  4 Ag 2.61-2.77
Ag 0.0983 0.1810 0.9657  3 Zn 2.61-2.75
Ag 0.0983 0.1810 0.5343  3 Zn 2.61-2.75
Ag 0.5983 0.3190 0.0343  3 Zn 2.61-2.75
Ag 0.9017 0.8190 0.0343  3 Zn 2.61-2.75
Ag 0.3676 0.6724 0.2500  2 Zn 2.77, 2 Pm 3.08-3.09
Ag 0.1324 0.1724 0.2500  2 Zn 2.77, 2 Pm 3.08-3.09
Ag 0.5983 0.3190 0.4657  3 Zn 2.61-2.75
Ag 0.4017 0.6810 0.5343  3 Zn 2.61-2.75
Ag 0.4017 0.6810 0.9657  3 Zn 2.61-2.75
Ag 0.9017 0.8190 0.4657  3 Zn 2.61-2.75
Ag 0.6324 0.3276 0.7500  2 Zn 2.77, 2 Pm 3.08-3.09
Ag 0.8676 0.8276 0.7500  2 Zn 2.77, 2 Pm 3.08-3.09
Pm 0.3699 0.9566 0.1066  3 Zn 3.09-3.20, 7 Ag 3.11-3.44
Pm 0.1337 0.1770 0.7500  3 Ag 3.08-3.23, 4 Zn 3.16-3.26
Pm 0.8699 0.5434 0.8934  3 Zn 3.09-3.20, 7 Ag 3.11-3.44
Pm 0.1301 0.4566 0.3934  3 Zn 3.09-3.20, 7 Ag 3.11-3.44
Pm 0.3699 0.9566 0.3934  3 Zn 3.09-3.20, 7 Ag 3.11-3.44
Pm 0.6301 0.0434 0.6066  3 Zn 3.09-3.20, 7 Ag 3.11-3.44
Pm 0.8663 0.8230 0.2500  3 Ag 3.08-3.23, 4 Zn 3.16-3.26
Pm 0.8699 0.5434 0.6066  3 Zn 3.09-3.20, 7 Ag 3.11-3.44
Pm 0.1301 0.4566 0.1066  3 Zn 3.09-3.20, 7 Ag 3.11-3.44
Pm 0.3663 0.6770 0.7500  3 Ag 3.08-3.23, 4 Zn 3.16-3.26
Pm 0.6301 0.0434 0.8934  3 Zn 3.09-3.20, 7 Ag 3.11-3.44
Pm 0.6337 0.3230 0.2500  3 Ag 3.08-3.23, 4 Zn 3.16-3.26

Stability order, top to bottom: i, ii

i | A plane-wave DFT calculation with PBE was carried out for an optimized crystal structure of Pm2Zn3Ag5.

Unit cell a=4.5630 b=7.1761 c=12.7453 alpha=90.00 beta=100.31 gamma=90.00
Last column: nearest neighbours and their distance in Å.
Positions (direct):
Pm 0.4807 0.7416 0.9615  6 Ag 3.08-3.41, 6 Zn 3.12-3.41
Pm 0.5193 0.2416 0.0385  6 Ag 3.08-3.41, 6 Zn 3.12-3.41
Pm 0.1740 0.7369 0.3480  5 Zn 3.14-3.38, 9 Ag 3.19-3.36
Pm 0.8260 0.2369 0.6520  5 Zn 3.14-3.38, 9 Ag 3.19-3.36
Ag 0.9481 0.0440 0.8962  4 Zn 2.65-2.81, 1 Ag 2.90
Ag 0.7044 0.4265 0.4088  4 Zn 2.64-2.78, 1 Ag 2.81
Ag 0.1243 0.2285 0.2485  2 Zn 2.70-2.78, 1 Ag 2.90
Ag 0.2956 0.9265 0.5912  4 Zn 2.64-2.78, 1 Ag 2.81
Ag 0.6052 0.9341 0.2104  3 Zn 2.65-2.73, 1 Ag 2.76
Ag 0.8757 0.7285 0.7515  2 Zn 2.70-2.78, 1 Ag 2.90
Ag 0.2886 0.5360 0.5772  3 Zn 2.63-2.71, 2 Ag 2.76-2.81
Ag 0.7114 0.0360 0.4228  3 Zn 2.63-2.71, 2 Ag 2.76-2.81
Ag 0.0519 0.5440 0.1038  4 Zn 2.65-2.81, 1 Ag 2.90
Ag 0.3948 0.4341 0.7896  3 Zn 2.65-2.73, 1 Ag 2.76
Zn 0.3944 0.0543 0.7889  4 Ag 2.64-2.73
Zn 0.6056 0.5543 0.2111  4 Ag 2.64-2.73
Zn 0.9482 0.4355 0.8965  5 Ag 2.65-2.81
Zn 0.0518 0.9355 0.1035  5 Ag 2.65-2.81
Zn 0.2321 0.2273 0.4641  7 Ag 2.63-2.78
Zn 0.7679 0.7273 0.5359  7 Ag 2.63-2.78

ii | A plane-wave DFT calculation with PBE was carried out for an optimized crystal structure of Pm2Zn3Ag5.

Unit cell a=5.8807 b=8.9299 c=8.9299 alpha=83.79 beta=70.78 gamma=70.78
Last column: nearest neighbours and their distance in Å.
Positions (direct):
Pm 0.3676 0.8652 0.3995  6 Ag 3.14-3.50, 4 Zn 3.18-3.37
Pm 0.1324 0.6005 0.1348  6 Ag 3.14-3.50, 4 Zn 3.18-3.37
Pm 0.6324 0.1348 0.6005  6 Ag 3.14-3.50, 4 Zn 3.18-3.37
Pm 0.8676 0.3995 0.8652  6 Ag 3.14-3.50, 4 Zn 3.18-3.37
Ag 0.8945 0.9504 0.2606  3 Zn 2.57-2.68, 2 Ag 2.84
Ag 0.9880 0.7620 0.7620  3 Zn 2.65-2.84, 4 Ag 2.84-2.94
Ag 0.3945 0.2606 0.9504  3 Zn 2.57-2.68, 2 Ag 2.84
Ag 0.4880 0.7620 0.7620  3 Zn 2.65-2.84, 4 Ag 2.84-2.94
Ag 0.5120 0.2380 0.2380  3 Zn 2.65-2.84, 4 Ag 2.84-2.94
Ag 0.7500 0.5000 0.5000  4 Zn 2.65, 2 Ag 2.94
Ag 0.2500 0.5000 0.5000  4 Zn 2.65, 2 Ag 2.94
Ag 0.0120 0.2380 0.2380  3 Zn 2.65-2.84, 4 Ag 2.84-2.94
Ag 0.6055 0.7394 0.0496  3 Zn 2.57-2.68, 2 Ag 2.84
Ag 0.1055 0.0496 0.7394  3 Zn 2.57-2.68, 2 Ag 2.84
Zn 0.7500 0.0000 0.0000  6 Ag 2.68-2.84, 2 Zn 2.94
Zn 0.1310 0.2383 0.4998  5 Ag 2.57-2.65
Zn 0.3690 0.5002 0.7617  5 Ag 2.57-2.65
Zn 0.2500 0.0000 0.0000  6 Ag 2.68-2.84, 2 Zn 2.94
Zn 0.6310 0.4998 0.2383  5 Ag 2.57-2.65
Zn 0.8690 0.7617 0.5002  5 Ag 2.57-2.65

Stability order, top to bottom: i, ii

i | A plane-wave DFT calculation with PBE was carried out for an optimized crystal structure of Pm3Zn3Ag2.

Unit cell a=4.6709 b=5.8232 c=14.8867 alpha=90.00 beta=90.00 gamma=113.64
Last column: nearest neighbours and their distance in Å.
Positions (direct):
Pm 0.0972 0.1944 0.8941  4 Ag 3.17-3.24, 7 Zn 3.20-3.33
Pm 0.6250 0.2500 0.2500  5 Zn 3.02-3.28, 4 Ag 3.34
Pm 0.3750 0.7500 0.7500  5 Zn 3.02-3.28, 4 Ag 3.34
Pm 0.9028 0.8056 0.3941  4 Ag 3.17-3.24, 7 Zn 3.20-3.33
Pm 0.9028 0.8056 0.1059  4 Ag 3.17-3.24, 7 Zn 3.20-3.33
Pm 0.0972 0.1944 0.6059  4 Ag 3.17-3.24, 7 Zn 3.20-3.33
Zn 0.6057 0.2114 0.0406  1 Zn 2.56, 2 Ag 2.69
Zn 0.3415 0.6830 0.2500  2 Ag 2.71, 1 Pm 3.02
Zn 0.3943 0.7886 0.5406  1 Zn 2.56, 2 Ag 2.69
Zn 0.6057 0.2114 0.4594  1 Zn 2.56, 2 Ag 2.69
Zn 0.3943 0.7886 0.9594  1 Zn 2.56, 2 Ag 2.69
Zn 0.6585 0.3170 0.7500  2 Ag 2.71, 1 Pm 3.02
Ag 0.8000 0.6000 0.5991  4 Zn 2.69-2.94
Ag 0.2000 0.4000 0.0991  4 Zn 2.69-2.94
Ag 0.8000 0.6000 0.9009  4 Zn 2.69-2.94
Ag 0.2000 0.4000 0.4009  4 Zn 2.69-2.94

ii | A plane-wave DFT calculation with PBE was carried out for an optimized crystal structure of Pm3Zn3Ag2.

Unit cell a=3.7762 b=5.1045 c=10.0349 alpha=104.90 beta=100.84 gamma=90.00
Last column: nearest neighbours and their distance in Å.
Positions (direct):
Pm 0.0000 0.0000 0.0000  8 Zn 3.14-3.17
Pm 0.1332 0.6339 0.2663  4 Ag 3.14-3.20, 6 Zn 3.16-3.18
Pm 0.8668 0.3661 0.7337  4 Ag 3.14-3.20, 6 Zn 3.16-3.18
Zn 0.5000 0.5000 0.0000  8 Pm 3.16-3.17
Zn 0.3683 0.8678 0.7366  2 Ag 2.72
Zn 0.6317 0.1322 0.2634  2 Ag 2.72
Ag 0.2347 0.2366 0.4694  2 Zn 2.72
Ag 0.7653 0.7634 0.5306  2 Zn 2.72

Stability order, top to bottom: i, ii